Density functional theory data (PBE) for an optimized crystal structure of CrTcAg.

a = 3.0057 Å, b = 4.4694 Å, c = 13.4841 Å
α = 90.00°, β = 90.00°, γ = 90.00°
Space group Fmm2 (No. 42)
Asymmetric unit:
Cr 0.0000 0.0000 0.0000 x4
Tc 0.0000 0.0000 0.6370 x4
Ag 0.0000 0.0000 0.3244 x4

Computed properties:
As for the energy above the most stable polymorph in this dataset: 0.02 eV per formula unit. The spin magnetization comes out at 0.000 μB per formula unit. The formation energy comes out at 411.0 meV per atom.



Density functional theory data (PBE) for an optimized crystal structure of Cr2TcAg.

a = 9.4129 Å, b = 2.8152 Å, c = 4.5141 Å
α = 90.00°, β = 111.02°, γ = 90.00°
Space group Cm (No. 8)
Asymmetric unit:
Cr 0.0000 0.0000 0.0000 x2
Cr 0.1924 0.5000 0.2497 x2
Tc 0.4496 0.0000 0.4518 x2
Ag 0.2328 0.0000 0.7813 x2

Computed properties:
The spin magnetization comes out at 0.007 μB per formula unit. The formation energy comes out at 474.1 meV per atom.



Density functional theory data (PBE) for an optimized crystal structure of Cr2TcAg.

a = 3.8700 Å, b = 3.8700 Å, c = 3.6700 Å
α = 90.00°, β = 90.00°, γ = 90.00°
Space group P4/mmm (No. 123)
Asymmetric unit:
Cr 0.0000 0.5000 0.0000 x2
Tc 0.0000 0.0000 0.5000 x1
Ag 0.5000 0.5000 0.5000 x1

Computed properties:
The spin magnetization comes out at 0.079 μB per formula unit. The formation energy comes out at 538.2 meV per atom.



Density functional theory data (PBE) for an optimized crystal structure of Cr3TcAg.

a = 4.6462 Å, b = 4.6462 Å, c = 4.6462 Å
α = 90.00°, β = 90.00°, γ = 90.00°
Space group Pm-3m (No. 221)
Asymmetric unit:
Cr 0.0000 0.0000 0.5000 x3
Tc 0.0000 0.0000 0.0000 x1
Ag 0.5000 0.5000 0.5000 x1

Computed properties:
The spin magnetization comes out at 8.835 μB per formula unit. The formation energy comes out at 1256.6 meV per atom.



Density functional theory data (PBE) for an optimized crystal structure of Cr2TcAg.

a = 2.6871 Å, b = 3.8877 Å, c = 5.5117 Å
α = 90.00°, β = 97.89°, γ = 90.00°
Space group Pm (No. 6)
Asymmetric unit:
Cr 0.0000 0.0000 0.0000 x1
Cr 0.3895 0.5000 0.1965 x1
Tc 0.8306 0.0000 0.4057 x1
Ag 0.4213 0.5000 0.7093 x1

Computed properties:
The spin magnetization comes out at 0.031 μB per formula unit. The formation energy comes out at 448.4 meV per atom.



Density functional theory data (PBE) for an optimized crystal structure of Cr2TcAg.

a = 2.8263 Å, b = 3.7121 Å, c = 5.6231 Å
α = 90.00°, β = 90.11°, γ = 90.00°
Space group P2/m (No. 10)
Asymmetric unit:
Cr 0.0011 0.0000 0.3110 x2
Tc 0.5000 0.5000 0.5000 x1
Ag 0.5000 0.5000 0.0000 x1

Computed properties:
The spin magnetization comes out at 0.000 μB per formula unit. The formation energy comes out at 429.3 meV per atom.



Density functional theory data (PBE) for an optimized crystal structure of TlCr2TcAg.

a = 4.6307 Å, b = 4.6307 Å, c = 4.9296 Å
α = 90.00°, β = 90.00°, γ = 90.00°
Space group P4/mmm (No. 123)
Asymmetric unit:
Tl 0.0000 0.0000 0.0000 x1
Cr 0.0000 0.5000 0.5000 x2
Tc 0.5000 0.5000 0.0000 x1
Ag 0.0000 0.0000 0.5000 x1

Computed properties:
The spin magnetization comes out at 0.123 μB per formula unit. The formation energy comes out at 2488.1 meV per atom.



Density functional theory data (PBE) for an optimized crystal structure of Cr2TcAgW.

a = 4.4190 Å, b = 4.4190 Å, c = 4.7410 Å
α = 90.00°, β = 90.00°, γ = 90.00°
Space group P4/mmm (No. 123)
Asymmetric unit:
Cr 0.0000 0.5000 0.0000 x2
Tc 0.0000 0.0000 0.5000 x1
Ag 0.0000 0.0000 0.0000 x1
W 0.5000 0.5000 0.5000 x1

Computed properties:
The spin magnetization comes out at 0.124 μB per formula unit. The formation energy comes out at 2686.7 meV per atom.



Density functional theory data (PBE) for an optimized crystal structure of CrAgTe3.

a = 13.9852 Å, b = 11.9263 Å, c = 6.9515 Å
α = 90.00°, β = 102.23°, γ = 90.00°
Space group C2/c (No. 15)
Asymmetric unit:
Cr 0.0000 0.0862 0.2500 x4
Cr 0.0000 0.2490 0.7500 x4
Ag 0.1915 0.4125 0.3039 x8
Te 0.0804 0.4190 0.5877 x8
Te 0.1076 0.0859 0.6240 x8
Te 0.1229 0.2155 0.1050 x8

Computed properties:
The raw formation energy is -0.06 eV per atom. As for the energy above the most stable polymorph in this dataset: 0.00 eV per formula unit. The spin magnetization comes out at 2.382 μB per formula unit.



Density functional theory data (PBE) for an optimized crystal structure of Cr2AgTe2.

a = 7.8269 Å, b = 7.8269 Å, c = 3.6602 Å
α = 90.00°, β = 90.00°, γ = 90.00°
Space group P4/mbm (No. 127)
Asymmetric unit:
Cr 0.1398 0.3602 0.0000 x4
Ag 0.0000 0.0000 0.5000 x2
Te 0.1635 0.6635 0.5000 x4

Computed properties:
The raw formation energy is 0.29 eV per atom. As for the energy above the most stable polymorph in this dataset: 0.21 eV per formula unit. The spin magnetization comes out at 7.987 μB per formula unit.



Density functional theory data (PBE) for an optimized crystal structure of Cr2AgTe.

a = 3.8045 Å, b = 3.8045 Å, c = 5.7238 Å
α = 90.00°, β = 90.00°, γ = 90.00°
Space group P4mm (No. 99)
Asymmetric unit:
Cr 0.0000 0.0000 0.0000 x1
Cr 0.5000 0.5000 0.3218 x1
Ag 0.5000 0.5000 0.8428 x1
Te 0.0000 0.0000 0.4878 x1

Computed properties:
The raw formation energy is 0.48 eV per atom. The spin magnetization comes out at 8.536 μB per formula unit.



Density functional theory data (PBE) for an optimized crystal structure of Cr2AgTe4.

a = 11.5049 Å, b = 11.5049 Å, c = 11.5049 Å
α = 90.00°, β = 90.00°, γ = 90.00°
Space group Fd-3m (No. 227, origin choice 2)
Asymmetric unit:
Cr 0.0000 0.0000 0.0000 x16
Ag 0.1250 0.1250 0.6250 x8
Te 0.0130 0.0130 0.2370 x32

Computed properties:
The raw formation energy is -0.20 eV per atom. The spin magnetization comes out at 5.553 μB per formula unit.